A plane-wave DFT calculation with PBE was carried out for a geometry-optimized Be2MoIr structure.

Computed properties:
SG   P2/m (10)
Size of the total moment   0.000 μB per atom
Energy above the most stable polymorph in this dataset   20.9 kJ per mole of atoms
Calculated formation energy   -0.08 eV per atom

Unit cell a=3.7604 b=2.7166 c=4.8824 alpha=82.58 beta=90.00 gamma=90.00
Fractional coordinates of all 4 atoms:
Ir (0.5000, 0.2500, 0.2500)
Mo (0.5000, 0.7500, 0.7500)
Be (0.0000, 0.1251, 0.9935)
Be (0.0000, 0.3749, 0.5065)

---

A plane-wave DFT calculation with PBE was carried out for a geometry-optimized BeMo2Ir structure.

Computed properties:
SG   F-43m (216)
Size of the total moment   0.000 μB per atom
Calculated formation energy   0.00 eV per atom

Unit cell a=4.3023 b=4.3023 c=4.3023 alpha=60.00 beta=60.00 gamma=60.00
Fractional coordinates of all 4 atoms:
Ir (0.7500, 0.7500, 0.7500)
Be (0.5000, 0.5000, 0.5000)
Mo (0.0000, 0.0000, 0.0000)
Mo (0.2500, 0.2500, 0.2500)

---

A plane-wave DFT calculation with PBE was carried out for a geometry-optimized Be2MoIr structure.

Computed properties:
SG   P4mm (99)
Size of the total moment   0.000 μB per atom
Energy above the most stable polymorph in this dataset   1.0 kJ per mole of atoms
Calculated formation energy   -0.29 eV per atom

Unit cell a=2.7941 b=2.7941 c=6.0036 alpha=90.00 beta=90.00 gamma=90.00
Fractional coordinates of all 4 atoms:
Be (0.0000, 0.0000, 0.0445)
Be (0.5000, 0.5000, 0.2323)
Mo (0.5000, 0.5000, 0.7669)
Ir (0.0000, 0.0000, 0.4563)

---

A plane-wave DFT calculation with PBE was carried out for a geometry-optimized Be17MoIr structure.

Computed properties:
SG   R3m (160)
Size of the total moment   0.000 μB per atom
Calculated formation energy   -0.19 eV per atom

Unit cell a=5.4764 b=5.4764 c=5.4764 alpha=83.04 beta=83.04 gamma=83.04
Fractional coordinates of all 19 atoms:
Be (0.2983, 0.6973, 0.0038)
Be (0.8993, 0.8993, 0.8993)
Be (0.9902, 0.5063, 0.9902)
Be (0.0038, 0.2983, 0.6973)
Be (0.1035, 0.1035, 0.1035)
Be (0.6973, 0.0038, 0.2983)
Be (0.2983, 0.0038, 0.6973)
Be (0.6973, 0.2983, 0.0038)
Be (0.8519, 0.3498, 0.3498)
Be (0.6472, 0.6472, 0.1666)
Be (0.1666, 0.6472, 0.6472)
Be (0.0038, 0.6973, 0.2983)
Be (0.5063, 0.9902, 0.9902)
Be (0.3498, 0.8519, 0.3498)
Be (0.9902, 0.9902, 0.5063)
Be (0.3498, 0.3498, 0.8519)
Be (0.6472, 0.1666, 0.6472)
Ir (0.3401, 0.3401, 0.3401)
Mo (0.6592, 0.6592, 0.6592)